1.
The following is a PBE calculation of crystalline ScNbN3 at its relaxed geometry, from Alexandria via LeMat-Bulk.

The formation energy without anion corrections comes out at -0.28 eV per atom.

It has space group Pm-3m (No. 221), with a = 4.017 Å, b = 4.017 Å, c = 4.017 Å, α = 90.00°, β = 90.00° and γ = 90.00°. The asymmetric unit holds Sc at (0.000, 0.000, 0.000), Nb at (0.500, 0.500, 0.500) and N at (0.000, 0.500, 0.500).

---

2.
The following is a PBE calculation of crystalline PbAuBr2 at its relaxed geometry, from Alexandria via LeMat-Bulk.

The energy relative to the lowest polymorph listed for this composition is 255.9 meV per atom. The formation energy without anion corrections comes out at -0.09 eV per atom.

It has space group Cmmm (No. 65), with a = 3.868 Å, b = 6.592 Å, c = 8.940 Å, α = 90.00°, β = 90.00° and γ = 90.00°. The asymmetric unit holds Pb at (0.000, 0.000, 0.000), Au at (0.000, 0.000, 0.500) and Br at (0.000, 0.500, 0.286).

---

3.
The following is a PBE calculation of crystalline AcPr6Dy at its relaxed geometry, from Alexandria via LeMat-Bulk.

As for the formation energy from the elements: 0.022 eV per atom.

It has space group P4/mmm (No. 123), with a = 5.270 Å, b = 5.270 Å, c = 10.542 Å, α = 90.00°, β = 90.00° and γ = 90.00°. The asymmetric unit holds Ac at (0.000, 0.000, 0.000), Pr at (0.000, 0.500, 0.258), Pr at (0.500, 0.500, 0.000), Pr at (0.500, 0.500, 0.500) and Dy at (0.000, 0.000, 0.500).

---

4.
The following is a PBE calculation of crystalline Ni2PbCl at its relaxed geometry, from Alexandria via LeMat-Bulk.

The energy relative to the lowest polymorph listed for this composition is 0.0 meV per atom. The formation energy without anion corrections comes out at 0.05 eV per atom.

It has space group Cm (No. 8), with a = 12.381 Å, b = 3.362 Å, c = 4.178 Å, α = 90.00°, β = 90.98° and γ = 90.00°. The asymmetric unit holds Ni at (0.000, 0.000, 0.000), Ni at (0.141, 0.500, 0.009), Pb at (0.143, 0.000, 0.509) and Cl at (0.383, 0.000, 0.996).